Ta2TeO: optimized geometry, PBEsol.

Output
Total energy = -8.39 eV per atom
Formation energy without anion corrections = 0.084 eV/atom
DOS(E_F) = 2.77 states/eV/cell
Space group = Fm-3m (225)

Unit cell a=4.477 b=4.477 c=4.477 alpha=60.00 beta=60.00 gamma=60.00
Sites, in units of the cell vectors:
Ta 0.250 0.250 0.250
Ta 0.750 0.750 0.750
Te 0.000 0.000 0.000
O 0.500 0.500 0.500


Li2Al: optimized geometry, PBEsol.

Output
Total energy = -2.78 eV per atom
DOS(E_F) = 0.94 states/eV/cell
Space group = Immm (71)

Unit cell a=4.889 b=4.889 c=4.889 alpha=148.12 beta=127.14 gamma=63.07
Sites, in units of the cell vectors:
Li 0.160 0.160 0.000
Li 0.840 0.840 0.000
Al 0.500 0.500 0.000


BaReTcMo2: optimized geometry, PBEsol.

Output
Total energy = -8.54 eV per atom
DOS(E_F) = 5.23 states/eV/cell
Space group = P4/mmm (123)

Unit cell a=4.808 b=4.808 c=4.803 alpha=90.00 beta=90.00 gamma=90.00
Sites, in units of the cell vectors:
Ba 0.000 0.000 0.000
Re 0.500 0.500 0.000
Tc 0.500 0.500 0.500
Mo 0.000 0.500 0.500
Mo 0.500 0.000 0.500


CdMo6S8: optimized geometry, PBEsol.

Output
Total energy = -7.87 eV per atom
Formation energy without anion corrections = -0.747 eV/atom
DOS(E_F) = 7.49 states/eV/cell
Space group = R-3 (148)

Unit cell a=6.436 b=6.436 c=6.436 alpha=91.92 beta=91.92 gamma=91.92
Sites, in units of the cell vectors:
Cd 0.000 0.000 0.000
Mo 0.218 0.411 0.554
Mo 0.411 0.554 0.218
Mo 0.446 0.782 0.589
Mo 0.554 0.218 0.411
Mo 0.589 0.446 0.782
Mo 0.782 0.589 0.446
S 0.131 0.733 0.378
S 0.227 0.227 0.227
S 0.267 0.622 0.869
S 0.378 0.131 0.733
S 0.622 0.869 0.267
S 0.733 0.378 0.131
S 0.773 0.773 0.773
S 0.869 0.267 0.622


ZrPb2F8: optimized geometry, PBEsol.

Output
Total energy = -5.97 eV per atom
Formation energy without anion corrections = -3.014 eV/atom
DOS(E_F) = 0.00 states/eV/cell
Space group = Pnma (62)

Unit cell a=9.547 b=5.443 c=11.529 alpha=90.00 beta=90.00 gamma=90.00
Sites, in units of the cell vectors:
Zr 0.242 0.250 0.140
Zr 0.258 0.750 0.640
Zr 0.742 0.250 0.360
Zr 0.758 0.750 0.860
Pb 0.033 0.750 0.335
Pb 0.148 0.750 0.940
Pb 0.352 0.250 0.440
Pb 0.467 0.250 0.835
Pb 0.533 0.750 0.165
Pb 0.648 0.750 0.560
Pb 0.852 0.250 0.060
Pb 0.967 0.250 0.665
F 0.092 0.519 0.140
F 0.092 0.981 0.140
F 0.141 0.504 0.536
F 0.141 0.996 0.536
F 0.144 0.250 0.314
F 0.147 0.508 0.749
F 0.147 0.992 0.749
F 0.149 0.250 0.972
F 0.351 0.750 0.472
F 0.353 0.008 0.249
F 0.353 0.492 0.249
F 0.356 0.750 0.814
F 0.359 0.004 0.036
F 0.359 0.496 0.036
F 0.408 0.019 0.640
F 0.408 0.481 0.640
F 0.592 0.519 0.360
F 0.592 0.981 0.360
F 0.641 0.504 0.964
F 0.641 0.996 0.964
F 0.644 0.250 0.186
F 0.647 0.508 0.751
F 0.647 0.992 0.751
F 0.649 0.250 0.528
F 0.851 0.750 0.028
F 0.853 0.008 0.251
F 0.853 0.492 0.251
F 0.856 0.750 0.686
F 0.859 0.004 0.464
F 0.859 0.496 0.464
F 0.908 0.019 0.860
F 0.908 0.481 0.860


MgSc3: optimized geometry, PBEsol.

Output
Energy relative to the lowest polymorph listed for this composition = 19 kJ/mol of formula units
Total energy = -5.34 eV per atom
DOS(E_F) = 5.72 states/eV/cell
Space group = Cmmm (65)

Unit cell a=5.439 b=5.439 c=3.305 alpha=90.00 beta=90.00 gamma=106.57
Sites, in units of the cell vectors:
Mg 0.000 0.000 0.000
Sc 0.000 0.500 0.500
Sc 0.500 0.000 0.500
Sc 0.500 0.500 0.000


Y2V2O7: optimized geometry, PBEsol.

Output
Energy relative to the lowest polymorph listed for this composition = 20 kJ/mol of formula units
Total energy = -9.30 eV per atom
Formation energy without anion corrections = -2.964 eV/atom
DOS(E_F) = 0.68 states/eV/cell
Space group = C2/m (12)

Unit cell a=5.738 b=5.738 c=5.129 alpha=96.02 beta=96.02 gamma=110.03
Sites, in units of the cell vectors:
Y 0.188 0.812 0.000
Y 0.812 0.188 0.000
V 0.256 0.256 0.600
V 0.744 0.744 0.400
O 0.080 0.080 0.279
O 0.111 0.433 0.791
O 0.433 0.111 0.791
O 0.500 0.500 0.500
O 0.567 0.889 0.209
O 0.889 0.567 0.209
O 0.920 0.920 0.721


Mg2ScCd: optimized geometry, PBEsol.

Output
Total energy = -2.89 eV per atom
DOS(E_F) = 2.97 states/eV/cell
Space group = C2/m (12)

Unit cell a=5.658 b=5.658 c=5.274 alpha=106.95 beta=106.95 gamma=32.83
Sites, in units of the cell vectors:
Mg 0.236 0.236 0.239
Mg 0.764 0.764 0.761
Sc 0.000 0.000 0.500
Cd 0.500 0.500 0.000


Li3HfNi: optimized geometry, PBEsol.

Output
Total energy = -2.64 eV per atom
DOS(E_F) = 11.08 states/eV/cell
Space group = Pm-3m (221)

Unit cell a=4.968 b=4.968 c=4.968 alpha=90.00 beta=90.00 gamma=90.00
Sites, in units of the cell vectors:
Li 0.000 0.000 0.500
Li 0.000 0.500 0.000
Li 0.500 0.000 0.000
Hf 0.000 0.000 0.000
Ni 0.500 0.500 0.500


BaMg2As: optimized geometry, PBEsol.

Output
Total energy = -2.87 eV per atom
DOS(E_F) = 2.60 states/eV/cell
Space group = Pmmm (47)

Unit cell a=3.360 b=3.857 c=8.303 alpha=90.00 beta=90.00 gamma=90.00
Sites, in units of the cell vectors:
Ba 0.000 0.000 0.000
Mg 0.500 0.500 0.322
Mg 0.500 0.500 0.678
As 0.000 0.000 0.500


SrAg2Au2: optimized geometry, PBEsol.

Output
Total energy = -3.61 eV per atom
DOS(E_F) = 1.65 states/eV/cell
Space group = I4/mmm (139)

Unit cell a=7.066 b=7.066 c=7.066 alpha=146.22 beta=146.22 gamma=48.52
Sites, in units of the cell vectors:
Sr 0.000 0.000 0.000
Ag 0.250 0.750 0.500
Ag 0.750 0.250 0.500
Au 0.396 0.396 0.000
Au 0.604 0.604 0.000


PIr2: optimized geometry, PBEsol.

Output
Total energy = -8.90 eV per atom
DOS(E_F) = 0.95 states/eV/cell
Space group = Fm-3m (225)

Unit cell a=3.915 b=3.915 c=3.915 alpha=60.00 beta=60.00 gamma=60.00
Sites, in units of the cell vectors:
P 0.000 0.000 0.000
Ir 0.250 0.250 0.250
Ir 0.750 0.750 0.750


SmFe2: optimized geometry, PBEsol.

Output
Total energy = -7.64 eV per atom
DOS(E_F) = 7.88 states/eV/cell
Space group = Fd-3m (227)

Unit cell a=5.084 b=5.084 c=5.084 alpha=60.00 beta=60.00 gamma=60.00
Sites, in units of the cell vectors:
Sm 0.125 0.125 0.125
Sm 0.875 0.875 0.875
Fe 0.000 0.500 0.500
Fe 0.500 0.000 0.500
Fe 0.500 0.500 0.000
Fe 0.500 0.500 0.500


Nd2Bi: optimized geometry, PBEsol.

Output
Total energy = -5.59 eV per atom
DOS(E_F) = 7.84 states/eV/cell
Space group = I4/mmm (139)

Unit cell a=9.512 b=9.512 c=9.512 alpha=152.32 beta=152.32 gamma=39.55
Sites, in units of the cell vectors:
Nd 0.000 0.500 0.500
Nd 0.179 0.179 0.000
Nd 0.500 0.000 0.500
Nd 0.821 0.821 0.000
Bi 0.361 0.361 0.000
Bi 0.639 0.639 0.000


Y2CuRh: optimized geometry, PBEsol.

Output
Total energy = -7.04 eV per atom
DOS(E_F) = 2.40 states/eV/cell
Space group = P4/mmm (123)

Unit cell a=3.401 b=3.401 c=6.814 alpha=90.00 beta=90.00 gamma=90.00
Sites, in units of the cell vectors:
Y 0.000 0.000 0.244
Y 0.000 0.000 0.756
Cu 0.500 0.500 0.500
Rh 0.500 0.500 0.000


ZnReRh: optimized geometry, PBEsol.

Output
Energy relative to the lowest polymorph listed for this composition = 31 kJ/mol of formula units
Total energy = -7.61 eV per atom
DOS(E_F) = 2.33 states/eV/cell
Space group = P-6m2 (187)

Unit cell a=4.227 b=4.227 c=2.643 alpha=90.00 beta=90.00 gamma=120.00
Sites, in units of the cell vectors:
Zn 0.000 0.000 0.000
Re 0.667 0.333 0.500
Rh 0.333 0.667 0.000


TaCu3Se3S: optimized geometry, PBEsol.

Output
Total energy = -5.70 eV per atom
Formation energy without anion corrections = -0.514 eV/atom
DOS(E_F) = 0.00 states/eV/cell
Space group = R3m (160)

Unit cell a=5.547 b=5.547 c=5.547 alpha=88.95 beta=88.95 gamma=88.95
Sites, in units of the cell vectors:
Ta 0.000 0.000 0.000
Cu 0.006 0.006 0.498
Cu 0.006 0.498 0.006
Cu 0.498 0.006 0.006
Se 0.263 0.748 0.748
Se 0.748 0.263 0.748
Se 0.748 0.748 0.263
S 0.236 0.236 0.236


CoSn2I: optimized geometry, PBEsol.

Output
Total energy = -3.75 eV per atom
Formation energy without anion corrections = 0.758 eV/atom
DOS(E_F) = 6.66 states/eV/cell
Space group = Fm-3m (225)

Unit cell a=5.110 b=5.110 c=5.110 alpha=60.00 beta=60.00 gamma=60.00
Sites, in units of the cell vectors:
Co 0.000 0.000 0.000
Sn 0.250 0.250 0.250
Sn 0.750 0.750 0.750
I 0.500 0.500 0.500


Sr2PCl: optimized geometry, PBEsol.

Output
Total energy = -4.48 eV per atom
Formation energy without anion corrections = -1.611 eV/atom
DOS(E_F) = 0.11 states/eV/cell
Space group = P4/mmm (123)

Unit cell a=4.337 b=4.337 c=5.952 alpha=90.00 beta=90.00 gamma=90.00
Sites, in units of the cell vectors:
Sr 0.000 0.000 0.000
Sr 0.500 0.500 0.500
P 0.000 0.000 0.500
Cl 0.500 0.500 0.000


FeCuO2: optimized geometry, PBEsol.

Output
Total energy = -6.90 eV per atom
Formation energy without anion corrections = -0.948 eV/atom
DOS(E_F) = 3.07 states/eV/cell
Space group = R-3m (166)

Unit cell a=5.984 b=5.984 c=5.984 alpha=26.74 beta=26.74 gamma=26.74
Sites, in units of the cell vectors:
Fe 0.000 0.000 0.000
Cu 0.500 0.500 0.500
O 0.393 0.393 0.393
O 0.607 0.607 0.607


GdCo9Si4: optimized geometry, PBEsol.

Output
Total energy = -8.21 eV per atom
Formation energy without anion corrections = -0.559 eV/atom
DOS(E_F) = 26.63 states/eV/cell
Space group = I4/mcm (140)

Unit cell a=7.787 b=7.787 c=7.787 alpha=121.45 beta=121.45 gamma=87.50
Sites, in units of the cell vectors:
Gd 0.250 0.250 0.000
Gd 0.750 0.750 0.000
Co 0.000 0.500 0.500
Co 0.051 0.551 0.242
Co 0.071 0.800 0.871
Co 0.191 0.949 0.500
Co 0.200 0.071 0.271
Co 0.300 0.571 0.871
Co 0.309 0.809 0.758
Co 0.429 0.300 0.729
Co 0.449 0.691 0.500
Co 0.500 0.000 0.500
Co 0.551 0.309 0.500
Co 0.571 0.700 0.271
Co 0.691 0.191 0.242
Co 0.700 0.429 0.129
Co 0.800 0.929 0.729
Co 0.809 0.051 0.500
Co 0.929 0.200 0.129
Co 0.949 0.449 0.758
Si 0.049 0.209 0.500
Si 0.209 0.709 0.160
Si 0.291 0.451 0.500
Si 0.451 0.951 0.160
Si 0.549 0.049 0.840
Si 0.709 0.549 0.500
Si 0.791 0.291 0.840
Si 0.951 0.791 0.500


Ga3OsO: optimized geometry, PBEsol.

Output
Total energy = -5.42 eV per atom
Formation energy without anion corrections = 0.079 eV/atom
DOS(E_F) = 2.69 states/eV/cell
Space group = Pm-3m (221)

Unit cell a=4.083 b=4.083 c=4.083 alpha=90.00 beta=90.00 gamma=90.00
Sites, in units of the cell vectors:
Ga 0.000 0.000 0.500
Ga 0.000 0.500 0.000
Ga 0.500 0.000 0.000
Os 0.500 0.500 0.500
O 0.000 0.000 0.000


CsBePd3: optimized geometry, PBEsol.

Output
Total energy = -2.65 eV per atom
DOS(E_F) = 2.07 states/eV/cell
Space group = Pm-3m (221)

Unit cell a=5.138 b=5.138 c=5.138 alpha=90.00 beta=90.00 gamma=90.00
Sites, in units of the cell vectors:
Cs 0.000 0.000 0.000
Be 0.500 0.500 0.500
Pd 0.000 0.000 0.500
Pd 0.000 0.500 0.000
Pd 0.500 0.000 0.000


NaGa2B: optimized geometry, PBEsol.

Output
Total energy = -3.34 eV per atom
DOS(E_F) = 4.41 states/eV/cell
Space group = I-42d (122)

Unit cell a=6.504 b=6.504 c=6.504 alpha=120.53 beta=120.53 gamma=89.08
Sites, in units of the cell vectors:
Na 0.000 0.000 0.000
Na 0.750 0.250 0.500
Ga 0.367 0.125 0.742
Ga 0.375 0.633 0.758
Ga 0.383 0.625 0.258
Ga 0.875 0.617 0.242
B 0.250 0.750 0.500
B 0.500 0.500 0.000


Fe3Co4: optimized geometry, PBEsol.

Output
Energy relative to the lowest polymorph listed for this composition = 22 kJ/mol of formula units
Total energy = -8.23 eV per atom
DOS(E_F) = 6.26 states/eV/cell
Space group = Cm (8)

Unit cell a=4.612 b=4.612 c=4.642 alpha=95.02 beta=95.02 gamma=50.42
Sites, in units of the cell vectors:
Fe 0.000 0.000 0.000
Fe 0.572 0.572 0.286
Fe 0.855 0.855 0.429
Co 0.137 0.137 0.575
Co 0.287 0.287 0.148
Co 0.426 0.426 0.714
Co 0.716 0.716 0.856